Compound: Pm2Pr5DyTm
Source: Alexandria via LeMat-Bulk
Functional: PBE
Structure: optimized geometry

abc: 8.6071 8.6071 10.4965
angles: 114.20 114.20 90.00
Atoms (fractional coordinates):
Pr 0.9244 0.4244 0.2873
Pr 0.3628 0.8628 0.2873
Pr 0.1372 0.0756 0.7127
Pr 0.0756 0.5756 0.7127
Pr 0.5000 0.5000 0.0000
Pr 0.6372 0.1372 0.7127
Pr 0.8628 0.9244 0.2873
Pr 0.0000 0.0000 0.0000
Pr 0.5756 0.6372 0.7127
Pr 0.4244 0.3628 0.2873
Dy 0.7500 0.7500 0.5000
Dy 0.2500 0.2500 0.5000
Pm 0.6226 0.1226 0.0000
Pm 0.8774 0.6226 0.0000
Pm 0.1226 0.3774 0.0000
Pm 0.3774 0.8774 0.0000
Tm 0.7500 0.2500 0.5000
Tm 0.2500 0.7500 0.5000

The calculation puts the density of states at the Fermi level at 13.62 states/eV/f.u. For the spin magnetization, the calculation gives 0.000 μB per atom. As for the volume: 633.5 Å³ per cell. The value obtained for the energy relative to the elements is 0.280 eV per atom. The space group is I4/mcm.